# MgSiSbI2, optimized geometry, DFT PBE
data_MgSiSbI2
_cell_length_a 5.4712
_cell_length_b 5.4712
_cell_length_c 5.5470
_cell_angle_alpha 90.00
_cell_angle_beta 90.00
_cell_angle_gamma 90.00
_space_group_name_H-M_alt 'P 1'
_space_group_IT_number 1
_space_group_name_Hall 'P 1'
loop_
_atom_site_label
_atom_site_fract_x
_atom_site_fract_y
_atom_site_fract_z
Mg1 0.0000 0.0000 0.0000
Si1 0.5000 0.5000 0.5000
Sb1 0.5000 0.5000 0.0000
I1 0.0000 0.5000 0.5000
I2 0.5000 0.0000 0.5000
# Volume ... 166.0 Å³/cell
# Polymorph energy (0 for the lowest one) ... 0.0000 eV/atom
# Calculated density ... 4.280 g cm⁻³
# Calculated total energy ... -2.527 eV per atom
# Energy relative to the elements, uncorrected ... 1.60 eV per formula unit
# DOS(E_F) ... 0.945 states/eV/atom